Sc4Cd3Sn | GGA-PBE | optimized geometry

Properties
As for the magnetization: 0.01 Bohr magnetons per cell. The calculation puts the formation enthalpy at 0 K at -0.38 eV/atom.

a b c (Å): 5.000 5.000 8.689
angles (deg): 73.28 73.28 60.00
Fractional positions:
1 Sc 0.375 0.375 0.876
2 Sc 0.876 0.876 0.372
3 Sc 0.124 0.124 0.628
4 Sc 0.625 0.625 0.124
5 Cd 0.245 0.245 0.265
6 Cd 0.500 0.500 0.500
7 Cd 0.755 0.755 0.735
8 Sn 0.000 0.000 0.000



CrFeTcRh | GGA-PBE | optimized geometry

Properties
As for the magnetization: 5.53 Bohr magnetons per cell. The calculation puts the formation enthalpy at 0 K at 0.10 eV/atom.

a b c (Å): 4.245 4.245 4.245
angles (deg): 60.00 60.00 60.00
Fractional positions:
1 Cr 0.750 0.750 0.750
2 Rh 0.000 0.000 0.000
3 Tc 0.500 0.500 0.500
4 Fe 0.250 0.250 0.250



BaTl2GaP | GGA-PBE | optimized geometry

Properties
As for the magnetization: 0.20 Bohr magnetons per cell. The excess energy over the best structure of this formula in the dataset comes out at 117.3 kJ/mol of atoms. The calculation puts the formation enthalpy at 0 K at 1.15 eV/atom.

a b c (Å): 6.415 6.002 6.415
angles (deg): 90.00 90.00 90.00
Fractional positions:
1 Tl 0.000 0.000 0.500
2 Tl 0.500 0.000 0.000
3 Ba 0.000 0.000 0.000
4 Ga 0.000 0.500 0.000
5 P 0.500 0.500 0.500



MnCr2Se | GGA-PBE | optimized geometry

Properties
As for the magnetization: 0.24 Bohr magnetons per cell. The uncorrected formation energy is 80 kJ/mol of formula units.

a b c (Å): 4.464 4.464 4.386
angles (deg): 75.51 75.51 38.80
Fractional positions:
1 Mn 0.501 0.501 0.444
2 Cr 0.013 0.013 0.928
3 Cr 0.241 0.241 0.314
4 Se 0.745 0.745 0.814



KBaSn4 | GGA-PBE | optimized geometry

Properties
As for the magnetization: 0.00 Bohr magnetons per cell. The excess energy over the best structure of this formula in the dataset comes out at 1.7 kJ/mol of atoms. The calculation puts the formation enthalpy at 0 K at -0.35 eV/atom.

a b c (Å): 6.503 6.503 6.503
angles (deg): 60.00 60.00 60.00
Fractional positions:
1 Sn 0.124 0.625 0.625
2 Sn 0.625 0.625 0.625
3 Sn 0.625 0.124 0.625
4 Sn 0.625 0.625 0.124
5 K 0.250 0.250 0.250
6 Ba 0.000 0.000 0.000



Gd2Fe5Si8 | GGA-PBE | optimized geometry

Properties
As for the magnetization: 14.11 Bohr magnetons per cell. The uncorrected formation energy is -809 kJ/mol of formula units.

a b c (Å): 3.875 3.875 16.410
angles (deg): 90.00 90.00 120.00
Fractional positions:
1 Fe 0.333 0.667 0.901
2 Fe 0.333 0.667 0.596
3 Fe 0.667 0.333 0.099
4 Fe 0.000 0.000 0.500
5 Fe 0.667 0.333 0.404
6 Si 0.667 0.333 0.552
7 Si 0.000 0.000 0.872
8 Si 0.667 0.333 0.957
9 Si 0.000 0.000 0.642
10 Si 0.000 0.000 0.128
11 Si 0.333 0.667 0.043
12 Si 0.000 0.000 0.358
13 Si 0.333 0.667 0.448
14 Gd 0.667 0.333 0.755
15 Gd 0.333 0.667 0.245